Entry from the Alexandria database: an optimized crystal structure of KCo2Cl (GGA-PBE).

Magnetic moment ... 3.99 Bohr magnetons per cell
Offset from the most stable computed form ... 39.8 kJ/mol of atoms
ΔE_f (raw) ... 1.85 eV/f.u.

Lattice parameters (Å, degrees): 6.4682 6.4682 6.4682 153.29 138.61 49.94
Sites, in units of the cell vectors:
K  0.7500  0.2500  0.5000
Co  0.0240  0.0240  0.0000
Co  0.4760  0.4760  0.0000
Cl  0.2500  0.7500  0.5000

***

Entry from the Alexandria database: an optimized crystal structure of KCo2Cl (GGA-PBE).

Magnetic moment ... 4.15 Bohr magnetons per cell
Offset from the most stable computed form ... 42.4 kJ/mol of atoms
ΔE_f (raw) ... 1.96 eV/f.u.

Lattice parameters (Å, degrees): 7.2558 3.7773 3.7773 90.00 90.00 90.00
Sites, in units of the cell vectors:
K  0.5000  0.5000  0.0000
Co  0.0000  0.0000  0.0000
Co  0.0000  0.5000  0.5000
Cl  0.5000  0.0000  0.5000

***

Entry from the Alexandria database: an optimized crystal structure of KCoCl2 (GGA-PBE).

Magnetic moment ... 2.00 Bohr magnetons per cell
Offset from the most stable computed form ... 5.9 kJ/mol of atoms
ΔE_f (raw) ... -3.18 eV/f.u.

Lattice parameters (Å, degrees): 3.9416 3.9416 6.8862 73.39 73.39 60.18
Sites, in units of the cell vectors:
K  0.7500  0.7500  0.7500
Co  0.2500  0.2500  0.2500
Cl  0.9790  0.9790  0.0654
Cl  0.5210  0.5210  0.4346

***

Entry from the Alexandria database: an optimized crystal structure of K2CoCl4 (GGA-PBE).

Magnetic moment ... 6.00 Bohr magnetons per cell
ΔE_f (raw) ... -9.73 eV/f.u.

Lattice parameters (Å, degrees): 7.1023 7.1682 8.7723 90.00 108.29 90.00
Sites, in units of the cell vectors:
K  0.7116  0.7500  0.0487
K  0.2884  0.2500  0.9513
K  0.2248  0.2500  0.4295
K  0.7752  0.7500  0.5705
Co  0.2711  0.7500  0.2019
Co  0.7289  0.2500  0.7981
Cl  0.4833  0.5052  0.2595
Cl  0.1008  0.7500  0.9373
Cl  0.8992  0.2500  0.0627
Cl  0.4833  0.9948  0.2595
Cl  0.9234  0.2500  0.6379
Cl  0.5167  0.0052  0.7405
Cl  0.5167  0.4948  0.7405
Cl  0.0766  0.7500  0.3621

***

Entry from the Alexandria database: an optimized crystal structure of K3Co2Cl8 (GGA-PBE).

Magnetic moment ... 7.00 Bohr magnetons per cell
ΔE_f (raw) ... -16.00 eV/f.u.

Lattice parameters (Å, degrees): 7.1349 7.1349 9.6748 68.36 68.36 60.00
Sites, in units of the cell vectors:
K  0.0000  0.0000  0.0000
K  0.2049  0.2049  0.3852
K  0.7951  0.7951  0.6148
Co  0.4067  0.4067  0.7798
Co  0.5933  0.5933  0.2202
Cl  0.3230  0.3230  0.0310
Cl  0.6770  0.6770  0.9690
Cl  0.2663  0.7728  0.6945
Cl  0.7728  0.2663  0.6945
Cl  0.2663  0.2663  0.6945
Cl  0.2272  0.7337  0.3055
Cl  0.7337  0.2272  0.3055
Cl  0.7337  0.7337  0.3055

***

Entry from the Alexandria database: an optimized crystal structure of K6CoCl12 (GGA-PBE).

Magnetic moment ... 3.01 Bohr magnetons per cell
ΔE_f (raw) ... -23.77 eV/f.u.

Lattice parameters (Å, degrees): 8.6600 8.6600 8.6600 89.79 89.79 89.79
Sites, in units of the cell vectors:
K  0.1691  0.3272  0.7336
K  0.6728  0.2664  0.8309
K  0.2664  0.8309  0.6728
K  0.8309  0.6728  0.2664
K  0.3272  0.7336  0.1691
K  0.7336  0.1691  0.3272
Co  0.0000  0.0000  0.0000
Cl  0.4570  0.1414  0.5643
Cl  0.1414  0.5643  0.4570
Cl  0.5643  0.4570  0.1414
Cl  0.5430  0.8586  0.4357
Cl  0.8586  0.4357  0.5430
Cl  0.4357  0.5430  0.8586
Cl  0.9605  0.0326  0.7425
Cl  0.2575  0.0395  0.9674
Cl  0.9674  0.2575  0.0395
Cl  0.0395  0.9674  0.2575
Cl  0.7425  0.9605  0.0326
Cl  0.0326  0.7425  0.9605

***

Entry from the Alexandria database: an optimized crystal structure of K2CoCl (GGA-PBE).

Magnetic moment ... 2.00 Bohr magnetons per cell
Offset from the most stable computed form ... 6.6 kJ/mol of atoms
ΔE_f (raw) ... -0.53 eV/f.u.

Lattice parameters (Å, degrees): 6.5239 6.5240 5.3394 90.00 90.00 36.54
Sites, in units of the cell vectors:
K  0.9969  0.9969  0.1241
K  0.7537  0.7536  0.6258
Co  0.2653  0.2653  0.1261
Cl  0.4842  0.4842  0.6240

***

Entry from the Alexandria database: an optimized crystal structure of KCo2Cl (GGA-PBE).

Magnetic moment ... 3.72 Bohr magnetons per cell
Offset from the most stable computed form ... 7.4 kJ/mol of atoms
ΔE_f (raw) ... 0.51 eV/f.u.

Lattice parameters (Å, degrees): 3.2067 3.2067 7.5903 90.00 90.00 90.02
Sites, in units of the cell vectors:
K  0.0000  0.0000  0.5167
Co  0.0000  0.0000  0.0516
Co  0.5000  0.5000  0.1567
Cl  0.5000  0.5000  0.7750

***

Entry from the Alexandria database: an optimized crystal structure of KCo2Cl (GGA-PBE).

Magnetic moment ... 3.14 Bohr magnetons per cell
Offset from the most stable computed form ... 85.1 kJ/mol of atoms
ΔE_f (raw) ... 3.73 eV/f.u.

Lattice parameters (Å, degrees): 3.1675 3.1675 8.0038 90.00 90.00 90.00
Sites, in units of the cell vectors:
K  0.5000  0.5000  0.2500
Co  0.0000  0.0000  0.9027
Co  0.0000  0.0000  0.5973
Cl  0.5000  0.5000  0.7500

***

Entry from the Alexandria database: an optimized crystal structure of KCoCl3 (GGA-PBE).

Magnetic moment ... 12.00 Bohr magnetons per cell
ΔE_f (raw) ... -5.55 eV/f.u.

Lattice parameters (Å, degrees): 7.3130 8.1838 10.1300 90.00 89.79 90.00
Sites, in units of the cell vectors:
K  0.9592  0.6094  0.2517
K  0.5408  0.1094  0.2483
K  0.0408  0.3906  0.7483
K  0.4592  0.8906  0.7517
Co  0.4382  0.6002  0.0636
Co  0.0618  0.1002  0.4364
Co  0.5618  0.3998  0.9364
Co  0.9382  0.8998  0.5636
Cl  0.1484  0.7090  0.5608
Cl  0.3516  0.2090  0.9392
Cl  0.8516  0.2910  0.4392
Cl  0.6484  0.7910  0.0608
Cl  0.8841  0.0199  0.7517
Cl  0.6159  0.5199  0.7483
Cl  0.1159  0.9801  0.2483
Cl  0.3841  0.4801  0.2517
Cl  0.6935  0.8330  0.4516
Cl  0.8065  0.3330  0.0484
Cl  0.3065  0.1670  0.5484
Cl  0.1935  0.6670  0.9516

***

Entry from the Alexandria database: an optimized crystal structure of KCoCl2 (GGA-PBE).

Magnetic moment ... 2.00 Bohr magnetons per cell
Offset from the most stable computed form ... 3.4 kJ/mol of atoms
ΔE_f (raw) ... -3.28 eV/f.u.

Lattice parameters (Å, degrees): 6.6246 6.6246 4.6939 98.17 98.17 35.74
Sites, in units of the cell vectors:
K  0.7501  0.7501  0.8536
Co  0.4571  0.4571  0.5677
Cl  0.0130  0.0130  0.7152
Cl  0.2799  0.2799  0.3635

***

Entry from the Alexandria database: an optimized crystal structure of KCo2Cl (GGA-PBE).

Magnetic moment ... 3.70 Bohr magnetons per cell
Offset from the most stable computed form ... 82.0 kJ/mol of atoms
ΔE_f (raw) ... 3.60 eV/f.u.

Lattice parameters (Å, degrees): 3.0682 3.0682 9.3817 90.00 90.00 119.10
Sites, in units of the cell vectors:
K  0.5000  0.5000  0.2500
Co  0.0000  0.0000  0.9445
Co  0.0000  0.0000  0.5555
Cl  0.5000  0.5000  0.7500

***

Entry from the Alexandria database: an optimized crystal structure of K4CoCl (GGA-PBE).

Magnetic moment ... 2.12 Bohr magnetons per cell
ΔE_f (raw) ... 2.36 eV/f.u.

Lattice parameters (Å, degrees): 7.4592 7.4592 7.4592 60.00 60.00 60.00
Sites, in units of the cell vectors:
K  0.8748  0.3751  0.3751
K  0.3751  0.3751  0.8748
K  0.3751  0.8748  0.3751
K  0.3751  0.3751  0.3751
Co  0.0000  0.0000  0.0000
Cl  0.7500  0.7500  0.7500

***

Entry from the Alexandria database: an optimized crystal structure of K2CoCl (GGA-PBE).

Magnetic moment ... 2.00 Bohr magnetons per cell
Offset from the most stable computed form ... 1.4 kJ/mol of atoms
ΔE_f (raw) ... -0.75 eV/f.u.

Lattice parameters (Å, degrees): 4.4968 4.4968 8.7195 75.56 75.56 59.58
Sites, in units of the cell vectors:
K  0.0104  0.0104  0.9721
K  0.4896  0.4896  0.5279
Co  0.2500  0.2500  0.2500
Cl  0.7500  0.7500  0.7500

***

Entry from the Alexandria database: an optimized crystal structure of KCo2Cl (GGA-PBE).

Magnetic moment ... 4.17 Bohr magnetons per cell
Offset from the most stable computed form ... 42.7 kJ/mol of atoms
ΔE_f (raw) ... 1.97 eV/f.u.

Lattice parameters (Å, degrees): 7.7681 7.7681 7.7681 151.85 151.85 40.24
Sites, in units of the cell vectors:
K  0.2500  0.7500  0.5000
Co  0.0000  0.0000  0.0000
Co  0.5000  0.5000  0.0000
Cl  0.7500  0.2500  0.5000

***

Entry from the Alexandria database: an optimized crystal structure of K4CoCl6 (GGA-PBE).

Magnetic moment ... 6.00 Bohr magnetons per cell
ΔE_f (raw) ... -16.93 eV/f.u.

Lattice parameters (Å, degrees): 8.5691 8.5691 8.8078 90.00 90.00 90.00
Sites, in units of the cell vectors:
K  0.3256  0.1744  0.2500
K  0.1744  0.6744  0.7500
K  0.6744  0.8256  0.7500
K  0.8256  0.3256  0.7500
K  0.3256  0.1744  0.7500
K  0.1744  0.6744  0.2500
K  0.8256  0.3256  0.2500
K  0.6744  0.8256  0.2500
Co  0.5000  0.5000  0.0000
Co  0.0000  0.0000  0.5000
Cl  0.2870  0.9130  0.5000
Cl  0.7870  0.5870  0.0000
Cl  0.5870  0.2130  0.0000
Cl  0.0870  0.2870  0.5000
Cl  0.0000  0.0000  0.2292
Cl  0.5000  0.5000  0.2708
Cl  0.4130  0.7870  0.0000
Cl  0.0000  0.0000  0.7708
Cl  0.2130  0.4130  0.0000
Cl  0.5000  0.5000  0.7292
Cl  0.9130  0.7130  0.5000
Cl  0.7130  0.0870  0.5000

***

Entry from the Alexandria database: an optimized crystal structure of KCoCl2 (GGA-PBE).

Magnetic moment ... 1.96 Bohr magnetons per cell
Offset from the most stable computed form ... 4.8 kJ/mol of atoms
ΔE_f (raw) ... -3.22 eV/f.u.

Lattice parameters (Å, degrees): 4.7751 4.3395 4.7766 90.00 90.00 90.00
Sites, in units of the cell vectors:
K  0.5000  0.7498  0.8753
Co  0.0000  0.2502  0.3748
Cl  0.0000  0.2501  0.8749
Cl  0.5000  0.2499  0.3750

***

Entry from the Alexandria database: an optimized crystal structure of KCoCl2 (GGA-PBE).

Magnetic moment ... 2.00 Bohr magnetons per cell
Offset from the most stable computed form ... 5.9 kJ/mol of atoms
ΔE_f (raw) ... -3.18 eV/f.u.

Lattice parameters (Å, degrees): 3.6118 3.9674 6.7705 88.44 90.00 90.00
Sites, in units of the cell vectors:
K  0.5000  0.7500  0.7500
Co  0.5000  0.2500  0.2500
Cl  0.0000  0.2366  0.0194
Cl  0.0000  0.2634  0.4806

***

Entry from the Alexandria database: an optimized crystal structure of K2CoCl (GGA-PBE).

Magnetic moment ... 1.97 Bohr magnetons per cell
Offset from the most stable computed form ... 0.0 kJ/mol of atoms
ΔE_f (raw) ... -0.80 eV/f.u.

Lattice parameters (Å, degrees): 3.8047 3.8047 8.2864 90.00 90.00 90.00
Sites, in units of the cell vectors:
K  0.0000  0.0000  0.0248
K  0.0000  0.0000  0.4752
Co  0.5000  0.5000  0.7500
Cl  0.5000  0.5000  0.2500

***

Entry from the Alexandria database: an optimized crystal structure of KCoCl2 (GGA-PBE).

Magnetic moment ... 2.00 Bohr magnetons per cell
Offset from the most stable computed form ... 22.4 kJ/mol of atoms
ΔE_f (raw) ... -2.49 eV/f.u.

Lattice parameters (Å, degrees): 7.3268 7.3268 7.3268 151.40 150.66 41.44
Sites, in units of the cell vectors:
K  0.2950  0.7950  0.5000
Co  0.5623  0.5623  0.0000
Cl  0.9707  0.9707  0.0000
Cl  0.6721  0.1721  0.5000

***

Entry from the Alexandria database: an optimized crystal structure of KCoCl2 (GGA-PBE).

Magnetic moment ... 2.00 Bohr magnetons per cell
Offset from the most stable computed form ... 7.5 kJ/mol of atoms
ΔE_f (raw) ... -3.11 eV/f.u.

Lattice parameters (Å, degrees): 5.5600 5.5600 5.5600 141.75 108.43 84.17
Sites, in units of the cell vectors:
K  0.2500  0.7500  0.5000
Co  0.7500  0.2500  0.5000
Cl  0.9341  0.9341  0.0000
Cl  0.5659  0.5659  0.0000

***

Entry from the Alexandria database: an optimized crystal structure of KCo2Cl (GGA-PBE).

Magnetic moment ... 3.61 Bohr magnetons per cell
Offset from the most stable computed form ... 40.0 kJ/mol of atoms
ΔE_f (raw) ... 1.86 eV/f.u.

Lattice parameters (Å, degrees): 4.8691 4.8691 7.9764 72.23 72.23 90.00
Sites, in units of the cell vectors:
K  0.0000  0.0000  0.0000
K  0.7500  0.2500  0.5000
Co  0.3750  0.1250  0.2500
Co  0.3750  0.6250  0.2500
Co  0.3750  0.6250  0.7500
Co  0.8750  0.6250  0.7500
Cl  0.5000  0.5000  0.0000
Cl  0.2500  0.7500  0.5000

***

Entry from the Alexandria database: an optimized crystal structure of KCoCl2 (GGA-PBE).

Magnetic moment ... 4.00 Bohr magnetons per cell
Offset from the most stable computed form ... 0.0 kJ/mol of atoms
ΔE_f (raw) ... -3.42 eV/f.u.

Lattice parameters (Å, degrees): 7.2308 7.2308 6.3035 55.00 55.00 90.00
Sites, in units of the cell vectors:
K  0.5000  0.5000  0.0000
K  0.2500  0.7500  0.5000
Co  0.0000  0.0000  0.0000
Co  0.7500  0.2500  0.5000
Cl  0.7233  0.1250  0.2500
Cl  0.0267  0.6250  0.2500
Cl  0.3750  0.2767  0.7500
Cl  0.8750  0.9733  0.7500

***

Entry from the Alexandria database: an optimized crystal structure of K3Co2Cl9 (GGA-PBE).

Magnetic moment ... 0.44 Bohr magnetons per cell
ΔE_f (raw) ... -16.39 eV/f.u.

Lattice parameters (Å, degrees): 9.3920 9.3920 9.3920 75.47 75.47 75.47
Sites, in units of the cell vectors:
K  0.4080  0.7500  0.0920
K  0.2500  0.9080  0.5920
K  0.9080  0.5920  0.2500
K  0.0920  0.4080  0.7500
K  0.7500  0.0920  0.4080
K  0.5920  0.2500  0.9080
Co  0.1765  0.1765  0.1765
Co  0.6765  0.6765  0.6765
Co  0.8235  0.8235  0.8235
Co  0.3235  0.3235  0.3235
Cl  0.7238  0.8845  0.0483
Cl  0.1155  0.9517  0.2762
Cl  0.2500  0.4028  0.0972
Cl  0.6155  0.7762  0.4517
Cl  0.5972  0.9028  0.7500
Cl  0.9028  0.7500  0.5972
Cl  0.2238  0.5483  0.3845
Cl  0.5483  0.3845  0.2238
Cl  0.9517  0.2762  0.1155
Cl  0.0483  0.7238  0.8845
Cl  0.4517  0.6155  0.7762
Cl  0.4028  0.0972  0.2500
Cl  0.7762  0.4517  0.6155
Cl  0.0972  0.2500  0.4028
Cl  0.3845  0.2238  0.5483
Cl  0.7500  0.5972  0.9028
Cl  0.8845  0.0483  0.7238
Cl  0.2762  0.1155  0.9517